(1)
# PaAlNO

A relaxed structure of PaAlNO (PBE-GGA, the Open Quantum Materials Database). Values from VASP.

* space group: Pmc2_1 (26)
* relative energy among the computed polymorphs: 75 meV/atom
* V: 13.09 Å³ per atom
* size of the total moment: 1.036 μB/f.u.
* uncorrected energy: -7.955 eV per atom

Structure (Quantum ESPRESSO input):
```
&SYSTEM
  ibrav = 0, nat = 8, ntyp = 4
/
ATOMIC_SPECIES
O 16.00 O.upf
Pa 231.04 Pa.upf
Al 26.98 Al.upf
N 14.01 N.upf
CELL_PARAMETERS angstrom
-1.731 -0.423 3.203
-2.132 -4.490 -1.745
4.247 -2.767 1.930
ATOMIC_POSITIONS crystal
O 0.500 0.200 0.001
Pa 0.500 0.270 0.498
Al 0.000 0.236 0.999
N 0.000 0.503 0.247
O 0.500 0.800 0.501
N 0.000 0.497 0.747
Pa 0.500 0.730 0.998
Al 0.000 0.764 0.499
```

=====

(2)
# CdBiSb2

A relaxed structure of CdBiSb2 (PBE-GGA, the Open Quantum Materials Database). Values from VASP.

* space group: F-43m (216)
* V: 27.50 Å³ per atom
* uncorrected energy: -3.116 eV per atom

Structure (Quantum ESPRESSO input):
```
&SYSTEM
  ibrav = 0, nat = 4, ntyp = 3
/
ATOMIC_SPECIES
Cd 112.41 Cd.upf
Sb 121.76 Sb.upf
Bi 208.98 Bi.upf
CELL_PARAMETERS angstrom
-2.615 -3.506 3.129
-5.170 -1.128 -0.962
-1.385 -4.822 -1.938
ATOMIC_POSITIONS crystal
Cd 0.250 0.250 0.250
Sb 0.000 0.000 0.000
Bi 0.500 0.500 0.500
Sb 0.750 0.750 0.750
```

=====

(3)
# NaPr2OsS6

A relaxed structure of NaPr2OsS6 (PBE-GGA, the Open Quantum Materials Database). Values from VASP.

* space group: P2_1/c (14)
* V: 21.90 Å³ per atom
* size of the total moment: 2.763 μB/f.u.
* uncorrected energy: -5.817 eV per atom

Structure (Quantum ESPRESSO input):
```
&SYSTEM
  ibrav = 0, nat = 20, ntyp = 4
/
ATOMIC_SPECIES
Pr 140.91 Pr.upf
S 32.06 S.upf
Os 190.23 Os.upf
Na 22.99 Na.upf
CELL_PARAMETERS angstrom
6.421 0.000 0.000
0.000 7.229 0.000
-6.326 0.000 9.435
ATOMIC_POSITIONS crystal
Pr 0.200 0.109 0.246
S 0.362 0.469 0.233
Pr 0.800 0.891 0.754
S 0.638 0.969 0.267
Os 0.000 0.000 0.500
Os 0.000 0.500 0.000
S 0.744 0.166 0.557
S 0.909 0.795 0.060
Pr 0.200 0.391 0.746
S 0.638 0.531 0.767
S 0.256 0.666 0.943
S 0.091 0.295 0.440
Na 0.500 0.500 0.500
S 0.256 0.834 0.443
S 0.362 0.031 0.733
S 0.909 0.705 0.560
S 0.091 0.205 0.940
S 0.744 0.334 0.057
Na 0.500 0.000 0.000
Pr 0.800 0.609 0.254
```

=====

(4)
# Li2Ta2InGaIr2

A relaxed structure of Li2Ta2InGaIr2 (PBE-GGA, the Open Quantum Materials Database). Values from VASP.

* space group: P-4m2 (115)
* V: 15.26 Å³ per atom
* size of the total moment: 0.002 μB/f.u.
* uncorrected energy: -6.859 eV per atom

Structure (Quantum ESPRESSO input):
```
&SYSTEM
  ibrav = 0, nat = 8, ntyp = 5
/
ATOMIC_SPECIES
Ir 192.22 Ir.upf
In 114.82 In.upf
Ta 180.95 Ta.upf
Li 6.94 Li.upf
Ga 69.72 Ga.upf
CELL_PARAMETERS angstrom
-1.812 3.275 -2.337
-3.208 0.370 3.006
3.450 4.170 3.169
ATOMIC_POSITIONS crystal
Ir 0.000 0.500 0.241
In 0.500 0.500 0.500
Ir 0.500 0.000 0.759
Ta 0.500 0.500 0.000
Li 0.000 0.500 0.761
Li 0.500 0.000 0.239
Ta 0.000 0.000 0.500
Ga 0.000 0.000 0.000
```

=====

(5)
# Pa2CoNiP4

A relaxed structure of Pa2CoNiP4 (PBE-GGA, the Open Quantum Materials Database). Values from VASP.

* space group: P-3m1 (164)
* V: 16.77 Å³ per atom
* size of the total moment: 0.021 μB/f.u.
* uncorrected energy: -7.351 eV per atom

Structure (Quantum ESPRESSO input):
```
&SYSTEM
  ibrav = 0, nat = 8, ntyp = 4
/
ATOMIC_SPECIES
P 30.97 P.upf
Co 58.93 Co.upf
Pa 231.04 Pa.upf
Ni 58.69 Ni.upf
CELL_PARAMETERS angstrom
-1.048 1.886 2.837
-2.411 -1.707 -1.994
1.200 -9.895 7.023
ATOMIC_POSITIONS crystal
P 0.667 0.333 0.915
P 0.333 0.667 0.406
Co 0.000 0.000 0.000
P 0.333 0.667 0.085
Pa 0.000 0.000 0.752
Pa 0.000 0.000 0.248
Ni 0.000 0.000 0.500
P 0.667 0.333 0.594
```

=====

(6)
# LaNi4Sb12

A relaxed structure of LaNi4Sb12 (PBE-GGA, the Open Quantum Materials Database). Values from VASP.

* space group: Im-3 (204)
* V: 23.84 Å³ per atom
* size of the total moment: 0.004 μB/f.u.
* uncorrected energy: -4.761 eV per atom

Structure (Quantum ESPRESSO input):
```
&SYSTEM
  ibrav = 0, nat = 17, ntyp = 3
/
ATOMIC_SPECIES
Ni 58.69 Ni.upf
Sb 121.76 Sb.upf
La 138.91 La.upf
CELL_PARAMETERS angstrom
-5.992 -5.323 -0.977
1.820 0.594 7.844
-2.330 7.215 -2.776
ATOMIC_POSITIONS crystal
Ni 0.500 0.000 0.000
Sb 0.839 0.336 0.175
Sb 0.664 0.503 0.839
Sb 0.175 0.839 0.336
Sb 0.161 0.336 0.497
Sb 0.497 0.161 0.336
Sb 0.503 0.839 0.664
La 0.000 0.000 0.000
Sb 0.664 0.825 0.161
Ni 0.000 0.500 0.000
Sb 0.336 0.497 0.161
Sb 0.336 0.175 0.839
Ni 0.000 0.000 0.500
Sb 0.161 0.664 0.825
Sb 0.825 0.161 0.664
Sb 0.839 0.664 0.503
Ni 0.500 0.500 0.500
```

=====

(7)
# SmSn

A relaxed structure of SmSn (PBE-GGA, the Open Quantum Materials Database). Values from VASP.

* space group: F-43m (216)
* V: 43.84 Å³ per atom
* size of the total moment: 0.002 μB/f.u.
* uncorrected energy: -4.132 eV per atom

Structure (Quantum ESPRESSO input):
```
&SYSTEM
  ibrav = 0, nat = 2, ntyp = 2
/
ATOMIC_SPECIES
Sn 118.71 Sn.upf
Sm 150.36 Sm.upf
CELL_PARAMETERS angstrom
-3.651 -2.558 2.234
-3.654 -2.023 -2.723
-0.263 -4.951 -0.534
ATOMIC_POSITIONS crystal
Sn 0.250 0.250 0.250
Sm 0.000 0.000 0.000
```

=====

(8)
# Pr5UN6

A relaxed structure of Pr5UN6 (PBE-GGA, the Open Quantum Materials Database). Values from VASP.

* space group: C2/m (12)
* V: 16.72 Å³ per atom
* size of the total moment: 0.025 μB/f.u.
* uncorrected energy: -8.476 eV per atom

Structure (Quantum ESPRESSO input):
```
&SYSTEM
  ibrav = 0, nat = 12, ntyp = 3
/
ATOMIC_SPECIES
Pr 140.91 Pr.upf
N 14.01 N.upf
U 238.03 U.upf
CELL_PARAMETERS angstrom
3.135 -5.424 0.000
3.135 5.424 0.000
-2.087 0.000 5.899
ATOMIC_POSITIONS crystal
Pr 0.334 0.666 0.000
Pr 0.666 0.334 0.000
N 0.222 0.222 0.769
Pr 0.834 0.166 0.500
N 0.630 0.925 0.775
N 0.778 0.778 0.231
N 0.925 0.630 0.775
U 0.000 0.000 0.000
N 0.075 0.370 0.225
N 0.370 0.075 0.225
Pr 0.500 0.500 0.500
Pr 0.166 0.834 0.500
```

=====

(9)
# Zr2GaCu

A relaxed structure of Zr2GaCu (PBE-GGA, the Open Quantum Materials Database). Values from VASP.

* space group: F-43m (216)
* V: 18.92 Å³ per atom
* size of the total moment: 3.042 μB/f.u.
* uncorrected energy: -5.784 eV per atom

Structure (Quantum ESPRESSO input):
```
&SYSTEM
  ibrav = 0, nat = 4, ntyp = 3
/
ATOMIC_SPECIES
Ga 69.72 Ga.upf
Zr 91.22 Zr.upf
Cu 63.55 Cu.upf
CELL_PARAMETERS angstrom
0.000 3.357 3.357
3.357 0.000 3.357
3.357 3.357 0.000
ATOMIC_POSITIONS crystal
Ga 0.500 0.500 0.500
Zr 0.750 0.750 0.750
Cu 0.250 0.250 0.250
Zr 0.000 0.000 0.000
```

=====

(10)
# Li4Ta2O5

A relaxed structure of Li4Ta2O5 (PBE-GGA, the Open Quantum Materials Database). Values from VASP.

* space group: Cmmm (65)
* V: 9.81 Å³ per atom
* size of the total moment: 0.653 μB/f.u.
* uncorrected energy: -7.088 eV per atom

Structure (Quantum ESPRESSO input):
```
&SYSTEM
  ibrav = 0, nat = 11, ntyp = 3
/
ATOMIC_SPECIES
Li 6.94 Li.upf
O 16.00 O.upf
Ta 180.95 Ta.upf
CELL_PARAMETERS angstrom
0.000 0.000 4.124
6.242 2.096 0.000
0.000 4.192 0.000
ATOMIC_POSITIONS crystal
Li 0.000 0.666 0.667
Li 0.000 0.000 0.000
Li 0.000 0.334 0.333
O 0.000 0.668 0.166
O 0.500 0.000 0.000
Ta 0.500 0.341 0.830
Li 0.500 0.000 0.500
O 0.000 0.332 0.834
O 0.500 0.692 0.654
Ta 0.500 0.659 0.170
O 0.500 0.308 0.346
```

=====

(11)
# UGePd

A relaxed structure of UGePd (PBE-GGA, the Open Quantum Materials Database). Values from VASP.

* space group: Pnma (62)
* V: 19.38 Å³ per atom
* size of the total moment: 2.166 μB/f.u.
* uncorrected energy: -7.488 eV per atom

Structure (Quantum ESPRESSO input):
```
&SYSTEM
  ibrav = 0, nat = 12, ntyp = 3
/
ATOMIC_SPECIES
U 238.03 U.upf
Ge 72.64 Ge.upf
Pd 106.42 Pd.upf
CELL_PARAMETERS angstrom
6.721 0.000 0.000
0.000 4.489 0.000
0.000 0.000 7.706
ATOMIC_POSITIONS crystal
U 0.498 0.750 0.788
Ge 0.215 0.250 0.910
Pd 0.194 0.750 0.080
Pd 0.694 0.750 0.420
U 0.998 0.750 0.712
U 0.502 0.250 0.212
Pd 0.806 0.250 0.920
Pd 0.306 0.250 0.580
Ge 0.785 0.750 0.090
Ge 0.715 0.250 0.590
U 0.002 0.250 0.288
Ge 0.285 0.750 0.410
```

=====

(12)
# LiCuSnW

A relaxed structure of LiCuSnW (PBE-GGA, the Open Quantum Materials Database). Values from VASP.

* space group: F-43m (216)
* V: 15.39 Å³ per atom
* size of the total moment: 2.132 μB/f.u.
* uncorrected energy: -5.067 eV per atom

Structure (Quantum ESPRESSO input):
```
&SYSTEM
  ibrav = 0, nat = 4, ntyp = 4
/
ATOMIC_SPECIES
Cu 63.55 Cu.upf
W 183.84 W.upf
Li 6.94 Li.upf
Sn 118.71 Sn.upf
CELL_PARAMETERS angstrom
3.558 -2.379 -1.152
1.240 -3.469 2.465
-0.498 -4.119 -1.560
ATOMIC_POSITIONS crystal
Cu 0.750 0.750 0.750
W 0.500 0.500 0.500
Li 0.250 0.250 0.250
Sn 0.000 0.000 0.000
```